DFT (PBE) results for Sc2AlW after structural relaxation.

Values from the calculation:
calculated volume: 19.00 Å³/atom
energy of formation: 22 meV per atom
magnetic moment: 0.0 μB/f.u.

Cell: 4.949 4.949 3.103 Å, 90.00 90.00 90.00°
Space group P4/mmm (No. 123)
Asymmetric unit:
Sc 0.000 0.500 0.000 (multiplicity 2)
Al 0.000 0.000 0.500 (multiplicity 1)
W 0.500 0.500 0.500 (multiplicity 1)